1.
## CsRb3Au (PBE)

Data for crystalline CsRb3Au at its relaxed geometry.

Properties
- E above lowest polymorph (meV/atom) = 7
- DOS at the Fermi energy (states/eV/atom) = 0.656
- crystal system = monoclinic
- symmetry = Pm, No. 6

Geometry as POSCAR:
```
CsRb3Au
1.0
-3.7411 2.3770 -2.6707
-0.4974 -10.6078 -8.7440
-6.8073 2.0321 11.3463
Cs Rb Au
2 6 2
Direct
0.6957 0.0309 0.5374
0.1952 0.3912 0.0171
0.1955 0.0313 0.2096
0.1956 0.4425 0.6494
0.1956 0.7247 0.5684
0.6956 0.9790 0.9045
0.6955 0.6966 0.9855
0.6955 0.3900 0.3444
0.6955 0.6514 0.6977
0.1954 0.7702 0.8563
```

2.
## Nb2Se4O13 (PBE)

Data for crystalline Nb2Se4O13 at its relaxed geometry.

Properties
- formation energy without anion corrections (kJ/mol of formula units) = -2547.8
- DOS at the Fermi energy (states/eV/atom) = 0.000
- crystal system = monoclinic
- symmetry = Pc, No. 7

Geometry as POSCAR:
```
Nb2Se4O13
1.0
-6.0246 -0.4101 3.3840
0.3176 -7.7355 -0.3720
5.5845 -4.0670 9.4493
Nb Se O
4 8 26
Direct
0.4915 0.9423 0.3961
0.5085 0.4423 0.3961
0.0063 0.8242 0.0485
0.9937 0.3242 0.0485
0.5128 0.8925 0.7069
0.4872 0.3925 0.7069
0.0719 0.0488 0.7235
0.9281 0.5488 0.7235
0.0648 0.6753 0.3824
0.9352 0.1753 0.3824
0.5637 0.5889 0.0613
0.4363 0.0889 0.0613
0.0979 0.5013 0.6390
0.9021 0.0013 0.6390
0.5774 0.6994 0.8115
0.4226 0.1994 0.8115
0.2454 0.8667 0.7222
0.7546 0.3667 0.7222
0.5776 0.6652 0.4014
0.4224 0.1652 0.4014
0.5226 0.8241 0.5759
0.4774 0.3241 0.5759
0.2165 0.8398 0.4045
0.7835 0.3398 0.4045
0.9846 0.2711 0.2310
0.0154 0.7711 0.2310
0.2816 0.2691 0.0590
0.7184 0.7691 0.0590
0.2847 0.9232 0.0424
0.7153 0.4232 0.0424
0.0148 0.4362 0.8708
0.9852 0.9362 0.8708
0.9231 0.0973 0.0522
0.0769 0.5973 0.0522
0.4783 0.9989 0.2151
0.5217 0.4989 0.2151
0.2210 0.4992 0.3803
0.7790 0.9992 0.3803
```

3.
## InCo2Ge2 (PBE)

Data for crystalline InCo2Ge2 at its relaxed geometry.

Properties
- DOS at the Fermi energy (states/eV/atom) = 0.749
- crystal system = tetragonal
- symmetry = P4/mbm, No. 127
- DFT total energy (eV for the cell shown) = -51.6

Geometry as POSCAR:
```
InCo2Ge2
1.0
-7.0537 -1.0904 0.4268
0.2218 -3.8033 -6.0507
0.4657 -2.4126 1.5336
Ge Co In
4 4 2
Direct
0.1493 0.6493 0.5000
0.6493 0.8507 0.5000
0.8507 0.3507 0.5000
0.3507 0.1493 0.5000
0.3604 0.8604 0.0000
0.8604 0.6396 0.0000
0.6396 0.1396 0.0000
0.1396 0.3604 0.0000
0.0000 0.0000 0.0000
0.5000 0.5000 0.0000
```

4.
## YSbPt2Au (PBE)

Data for crystalline YSbPt2Au at its relaxed geometry.

Properties
- formation energy without anion corrections (kJ/mol of formula units) = 186.2
- DOS at the Fermi energy (states/eV/atom) = 1.162
- crystal system = tetragonal
- symmetry = P4/mmm, No. 123

Geometry as POSCAR:
```
YSbPt2Au
1.0
4.9331 0.0000 0.0000
0.0000 5.6961 0.0000
0.0000 0.0000 4.9331
Y Sb Au Pt
1 1 1 2
Direct
0.0000 0.5000 0.0000
0.0000 0.0000 0.0000
0.5000 0.5000 0.5000
0.0000 0.0000 0.5000
0.5000 0.0000 0.0000
```

5.
## CaCd4In (PBE)

Data for crystalline CaCd4In at its relaxed geometry.

Properties
- E above lowest polymorph (meV/atom) = 27
- DOS at the Fermi energy (states/eV/atom) = 0.417
- crystal system = orthorhombic
- symmetry = Cmcm, No. 63

Geometry as POSCAR:
```
CaCd4In
1.0
-0.4950 2.2788 -3.8690
-4.5659 -5.4323 -2.6154
-6.7723 3.1204 5.3417
Ca Cd In
2 8 2
Direct
0.1206 0.2500 0.2412
0.8794 0.7500 0.7588
0.5000 0.5000 0.0000
0.5000 0.0000 0.0000
0.6637 0.9464 0.3275
0.3363 0.0536 0.6725
0.3363 0.4464 0.6725
0.6637 0.5536 0.3275
0.0644 0.7500 0.1288
0.9356 0.2500 0.8712
0.2362 0.7500 0.4724
0.7638 0.2500 0.5276
```

6.
## LaIrN (PBE)

Data for crystalline LaIrN at its relaxed geometry.

Properties
- formation energy without anion corrections (kJ/mol of formula units) = -208.9
- DOS at the Fermi energy (states/eV/atom) = 0.602
- crystal system = orthorhombic
- symmetry = Cmcm, No. 63

Geometry as POSCAR:
```
LaIrN
1.0
-3.6045 3.3006 -1.5594
-2.0058 -3.5831 -2.9477
-0.7857 -2.9171 4.0806
La N Ir
2 2 2
Direct
0.3110 0.7500 0.6220
0.6890 0.2500 0.3780
0.1900 0.2500 0.3799
0.8100 0.7500 0.6201
0.0000 0.0000 0.0000
0.0000 0.5000 0.0000
```

7.
## Nd6InOs2Br3 (PBE)

Data for crystalline Nd6InOs2Br3 at its relaxed geometry.

Properties
- formation energy without anion corrections (kJ/mol of formula units) = -831.8
- DOS at the Fermi energy (states/eV/atom) = 0.503
- crystal system = monoclinic
- symmetry = C2/m, No. 12

Geometry as POSCAR:
```
Nd6InOs2Br3
1.0
-4.0842 0.1743 -0.3113
-0.8076 -4.4266 8.1174
2.3141 9.9922 2.2319
Nd In Os Br
6 1 2 3
Direct
0.3345 0.8619 0.6691
0.6841 0.5756 0.3683
0.6655 0.1381 0.3309
0.0353 0.2740 0.0707
0.9647 0.7260 0.9293
0.3159 0.4244 0.6317
0.5000 0.0000 0.0000
0.8285 0.6491 0.6569
0.1715 0.3509 0.3431
0.5000 0.5000 0.0000
0.8262 0.1513 0.6525
0.1738 0.8487 0.3475
```

8.
## Ac2BeAsPt6 (PBE)

Data for crystalline Ac2BeAsPt6 at its relaxed geometry.

Properties
- DOS at the Fermi energy (states/eV/atom) = 0.427
- crystal system = tetragonal
- symmetry = I4mm, No. 107
- DFT total energy (eV for the cell shown) = -62.0

Geometry as POSCAR:
```
Ac2BeAsPt6
1.0
-4.5124 -3.7911 1.2078
1.2298 -3.0667 -5.0273
5.0580 0.2470 4.6864
Ac Be As Pt
2 1 1 6
Direct
0.7139 0.2145 0.4280
0.2140 0.7145 0.4281
0.5681 0.5684 0.1358
0.0745 0.0750 0.1490
0.7082 0.7087 0.9278
0.7759 0.7764 0.5519
0.2195 0.2200 0.9277
0.7082 0.2201 0.9277
0.2970 0.2976 0.5941
0.2196 0.7087 0.9278
```

9.
## Y2MgRuO (PBE)

Data for crystalline Y2MgRuO at its relaxed geometry.

Properties
- formation energy without anion corrections (kJ/mol of formula units) = -562.9
- DOS at the Fermi energy (states/eV/atom) = 0.651
- crystal system = tetragonal
- symmetry = P4/mmm, No. 123

Geometry as POSCAR:
```
Y2MgRuO
1.0
4.7784 0.0000 0.0000
0.0000 4.7784 0.0000
0.0000 0.0000 4.0125
Y Ru Mg O
2 1 1 1
Direct
0.0000 0.5000 0.0000
0.5000 0.0000 0.0000
0.5000 0.5000 0.5000
0.0000 0.0000 0.5000
0.0000 0.0000 0.0000
```

10.
## NdHo2Cu3 (PBE)

Data for crystalline NdHo2Cu3 at its relaxed geometry.

Properties
- DOS at the Fermi energy (states/eV/atom) = 0.484
- crystal system = tetragonal
- symmetry = P4/mmm, No. 123
- DFT total energy (eV for the cell shown) = -27.6

Geometry as POSCAR:
```
NdHo2Cu3
1.0
3.4822 0.0000 0.0000
0.0000 3.4822 0.0000
0.0000 0.0000 10.5577
Nd Ho Cu
1 2 3
Direct
0.5000 0.5000 0.5000
0.5000 0.5000 0.8379
0.5000 0.5000 0.1621
0.0000 0.0000 0.0000
0.0000 0.0000 0.6825
0.0000 0.0000 0.3175
```

11.
## Zr2Zn12Cu5 (PBE)

Data for crystalline Zr2Zn12Cu5 at its relaxed geometry.

Properties
- DOS at the Fermi energy (states/eV/atom) = 0.460
- crystal system = trigonal
- symmetry = R-3m, No. 166
- DFT total energy (eV for the cell shown) = -55.8

Geometry as POSCAR:
```
Zr2Zn12Cu5
1.0
6.5443 0.1499 0.7133
0.6558 6.5130 0.7133
0.1620 0.1499 6.5810
Zr Zn Cu
2 12 5
Direct
0.6688 0.6688 0.6688
0.3312 0.3312 0.3312
0.2953 0.7047 0.0000
0.7047 0.0000 0.2953
0.0000 0.2953 0.7047
0.7047 0.2953 0.0000
0.2953 0.0000 0.7047
0.0000 0.7047 0.2953
0.3511 0.3511 0.8485
0.3511 0.8485 0.3511
0.8485 0.3511 0.3511
0.6489 0.1515 0.6489
0.6489 0.6489 0.1515
0.1515 0.6489 0.6489
0.0000 0.0000 0.5000
0.0000 0.5000 0.0000
0.5000 0.0000 0.0000
0.8979 0.8979 0.8979
0.1021 0.1021 0.1021
```

12.
## ScSi2Rh (PBE)

Data for crystalline ScSi2Rh at its relaxed geometry.

Properties
- formation energy without anion corrections (kJ/mol of formula units) = -305.9
- DOS at the Fermi energy (states/eV/atom) = 0.283
- crystal system = monoclinic
- symmetry = C2/m, No. 12

Geometry as POSCAR:
```
ScSi2Rh
1.0
-2.5607 2.5316 1.7883
-3.8189 0.1667 -1.2459
-3.2818 -2.3373 3.1826
Rh Sc Si
1 1 2
Direct
0.2500 0.2500 0.2500
0.7500 0.7500 0.7500
0.9675 0.9675 0.0957
0.5325 0.5325 0.4043
```

13.
## BiS2IN (PBE)

Data for crystalline BiS2IN at its relaxed geometry.

Properties
- E above lowest polymorph (meV/atom) = 0
- formation energy without anion corrections (kJ/mol of formula units) = 527.5
- DOS at the Fermi energy (states/eV/atom) = 0.528
- crystal system = tetragonal
- symmetry = P4/mmm, No. 123

Geometry as POSCAR:
```
BiS2IN
1.0
-0.3103 5.2020 -1.0496
-1.7332 -1.0931 -4.9051
-3.7097 0.0414 1.3016
I S Bi N
1 2 1 1
Direct
0.0000 0.0000 0.0000
0.0000 0.5000 0.0000
0.5000 0.0000 0.0000
0.5000 0.5000 0.5000
0.0000 0.0000 0.5000
```

14.
## CaEr2Ir (PBE)

Data for crystalline CaEr2Ir at its relaxed geometry.

Properties
- E above lowest polymorph (meV/atom) = 24
- DOS at the Fermi energy (states/eV/atom) = 0.962
- crystal system = trigonal
- symmetry = R-3m, No. 166

Geometry as POSCAR:
```
CaEr2Ir
1.0
-2.3454 -2.9260 -1.4787
1.0846 -1.9491 -3.3576
4.1663 -7.8874 3.5047
Ca Ir Er
1 1 2
Direct
0.5000 0.5000 0.5000
0.0000 0.0000 0.0000
0.2821 0.2821 0.1537
0.7179 0.7179 0.8463
```

15.
## NaVCoS3 (PBE)

Data for crystalline NaVCoS3 at its relaxed geometry.

Properties
- formation energy without anion corrections (kJ/mol of formula units) = -488.6
- DOS at the Fermi energy (states/eV/atom) = 0.485
- crystal system = monoclinic
- symmetry = P2_1/m, No. 11

Geometry as POSCAR:
```
NaVCoS3
1.0
-3.3265 0.3258 -0.6090
-0.2633 -7.0905 -2.3553
-1.5352 0.5312 8.6699
Na V Co S
2 2 2 6
Direct
0.2500 0.2477 0.2657
0.7500 0.7523 0.7343
0.2500 0.7011 0.1684
0.7500 0.2989 0.8316
0.2500 0.0838 0.6078
0.7500 0.9162 0.3922
0.7500 0.9067 0.1409
0.2500 0.0933 0.8591
0.2500 0.7627 0.4478
0.7500 0.2373 0.5522
0.7500 0.4524 0.1311
0.2500 0.5476 0.8689
```

16.
## TiGeHPt2 (PBE)

Data for crystalline TiGeHPt2 at its relaxed geometry.

Properties
- DOS at the Fermi energy (states/eV/atom) = 0.687
- crystal system = tetragonal
- symmetry = P4/mmm, No. 123
- DFT total energy (eV for the cell shown) = -29.8

Geometry as POSCAR:
```
TiGeHPt2
1.0
3.8991 0.0000 0.0000
0.0000 3.8991 0.0000
0.0000 0.0000 4.3379
H Ge Pt Ti
1 1 2 1
Direct
0.0000 0.0000 0.0000
0.5000 0.5000 0.5000
0.0000 0.5000 0.0000
0.5000 0.0000 0.0000
0.0000 0.0000 0.5000
```

17.
## LaY2TaCl (PBE)

Data for crystalline LaY2TaCl at its relaxed geometry.

Properties
- formation energy without anion corrections (kJ/mol of formula units) = -2.0
- DOS at the Fermi energy (states/eV/atom) = 1.201
- crystal system = tetragonal
- symmetry = P4/mmm, No. 123

Geometry as POSCAR:
```
LaY2TaCl
1.0
-5.2774 0.2466 -0.6501
-0.5430 -3.5894 3.0461
-0.3339 3.4667 4.0255
Y Cl La Ta
2 1 1 1
Direct
0.0000 0.0000 0.5000
0.5000 0.0000 0.0000
0.0000 0.0000 0.0000
0.5000 0.5000 0.5000
0.0000 0.5000 0.0000
```

18.
## BaTc2Au (PBE)

Data for crystalline BaTc2Au at its relaxed geometry.

Properties
- E above lowest polymorph (meV/atom) = 473
- DOS at the Fermi energy (states/eV/atom) = 1.697
- crystal system = tetragonal
- symmetry = I4_1/amd, No. 141

Geometry as POSCAR:
```
BaTc2Au
1.0
4.6779 0.0000 0.0000
0.0000 4.6779 0.0000
2.3389 2.3389 9.9292
Au Ba Tc
2 2 4
Direct
0.0000 0.0000 0.0000
0.7500 0.2500 0.5000
0.5000 0.5000 0.0000
0.2500 0.7500 0.5000
0.8750 0.1250 0.2500
0.8750 0.6250 0.2500
0.3750 0.1250 0.7500
0.8750 0.1250 0.7500
```

19.
## Sc7GeS5 (PBE)

Data for crystalline Sc7GeS5 at its relaxed geometry.

Properties
- formation energy without anion corrections (kJ/mol of formula units) = -2024.3
- DOS at the Fermi energy (states/eV/atom) = 0.609
- crystal system = orthorhombic
- symmetry = Cmcm, No. 63

Geometry as POSCAR:
```
Sc7GeS5
1.0
-2.9099 2.1213 -0.9076
0.2554 -4.7027 -4.2131
-12.7324 -12.0445 12.6711
Sc Ge S
14 2 10
Direct
0.4682 0.9364 0.2500
0.5324 0.0647 0.7500
0.6385 0.2769 0.0369
0.3622 0.7245 0.9631
0.3621 0.7242 0.5369
0.6384 0.2768 0.4630
0.1841 0.3682 0.1779
0.8165 0.6330 0.8221
0.8163 0.6327 0.6780
0.1842 0.3683 0.3220
0.9069 0.8139 0.1153
0.0937 0.1874 0.8847
0.0935 0.1870 0.6152
0.9070 0.8140 0.3847
0.8045 0.6090 0.2500
0.1961 0.3921 0.7501
0.0003 0.0007 0.0000
0.7251 0.4503 0.9276
0.2755 0.5511 0.0724
0.5481 0.0962 0.3570
0.4524 0.9048 0.6430
0.0002 0.0005 0.5000
0.2755 0.5510 0.4276
0.7250 0.4500 0.5724
0.4526 0.9051 0.8570
0.5481 0.0961 0.1430
```

20.
## La2AlSi (PBE)

Data for crystalline La2AlSi at its relaxed geometry.

Properties
- formation energy without anion corrections (kJ/mol of formula units) = -229.8
- DOS at the Fermi energy (states/eV/atom) = 0.719
- crystal system = monoclinic
- symmetry = P2_1/m, No. 11

Geometry as POSCAR:
```
La2AlSi
1.0
-1.5659 3.8156 0.1146
-5.2661 -2.0830 -2.6049
-0.3757 -0.4288 9.1421
La Al Si
4 2 2
Direct
0.7500 0.2208 0.4270
0.2500 0.7792 0.5730
0.2500 0.7901 0.0691
0.7500 0.2099 0.9309
0.7500 0.6305 0.2802
0.2500 0.3695 0.7198
0.2500 0.3649 0.2136
0.7500 0.6351 0.7864
```